Material: LiAc6Co3
Method: DFT, GGA-PBE
State: optimized geometry

Summary:
Crystal system   monoclinic
Magnetic moment   0.0 μB/f.u.
Total energy   -95.32 eV for the cell shown

abc: 12.804 4.169 12.904
angles: 90.00 102.88 90.00
Space group P2_1/m (No. 11)
Symmetry-distinct sites (fractional):
Li (0.027, 0.250, 0.143) [2 per cell]
Ac (0.069, 0.750, 0.402) [2 per cell]
Ac (0.201, 0.750, 0.698) [2 per cell]
Ac (0.218, 0.250, 0.970) [2 per cell]
Ac (0.319, 0.750, 0.251) [2 per cell]
Ac (0.387, 0.250, 0.544) [2 per cell]
Ac (0.483, 0.750, 0.868) [2 per cell]
Co (0.149, 0.250, 0.555) [2 per cell]
Co (0.360, 0.750, 0.037) [2 per cell]
Co (0.471, 0.250, 0.342) [2 per cell]